VASP calculation (PBE-GGA) on a relaxed structure of K4Er3PuO8.

Properties
- symmetry = R-3m (166)
- V (Å³ per atom) = 16.42
- formation energy without anion corrections (eV per atom) = -2.674
- ρ (g/cm³) = 6.51
- magnetic moment (μB/atom) = 0.3125
- Fermi-level density of states (states/eV/f.u.) = 5.6

abc: 6.9652 7.4360 6.9655
angles: 117.94 120.00 90.00
Closest atoms and distances in Å follow each position.
Sites, in units of the cell vectors:
Er  0.5000  0.5000  0.0000  6 O 2.30-2.32
Pu  0.0000  0.5000  0.0000  6 O 2.36
K  0.0000  0.0000  0.0000  6 O 2.82-2.83
O  0.2321  0.6853  0.4643  2 Er 2.30, 1 Pu 2.36
K  0.5000  0.0000  0.0000  6 O 2.78
O  0.7679  0.3146  0.0467  2 Er 2.30, 1 Pu 2.36
O  0.2719  0.3158  0.5438  3 Er 2.32
Er  0.0000  0.5000  0.5000  6 O 2.30-2.32
O  0.7679  0.3147  0.5357  2 Er 2.30, 1 Pu 2.36
Er  0.5000  0.5000  0.5000  6 O 2.30-2.32
O  0.7212  0.6854  0.9533  2 Er 2.30, 1 Pu 2.36
O  0.7281  0.6842  0.4562  3 Er 2.32
O  0.2788  0.3146  0.0467  2 Er 2.30, 1 Pu 2.36
K  0.5000  0.0000  0.5000  6 O 2.82-2.83
O  0.2321  0.6854  0.9533  2 Er 2.30, 1 Pu 2.36
K  0.0000  0.0000  0.5000  6 O 2.82-2.83